Below is Ca2SbWF after structural relaxation, with properties calculated at the PBE+U level.

a = 4.7640 Å, b = 4.7728 Å, c = 4.7640 Å
α = 90.00°, β = 90.00°, γ = 90.00°
Fractional coordinates of all 5 atoms:
W 0.0000 0.5000 0.0000
Ca 0.5000 0.0000 0.0000
Ca 0.0000 0.0000 0.5000
Sb 0.5000 0.5000 0.5000
F 0.0000 0.0000 0.0000

## Properties
space group = No. 123
uncorrected energy = -3.97 eV per atom
DOS at the Fermi energy = 3.29 states/eV/cell
magnetization = 1.42 μB/cell